1.
Na2SN: optimized geometry, PBE.

- Density: 1.74 g cm⁻³
- Formation energy (no corrections): 0.17 eV per atom
- Excess energy over the best structure of this formula in the dataset: 0.0 kJ/mol of atoms

Cell lengths 9.282, 9.282, 6.871 Å; angles 47.51, 47.51, 90.00 degrees
Fractional coordinates of all 8 atoms:
Na: 0.378 0.125 0.250
Na: 0.875 0.628 0.750
Na: 0.372 0.625 0.250
Na: 0.375 0.622 0.750
S: 0.750 0.250 0.500
S: 0.000 0.000 0.000
N: 0.500 0.500 0.000
N: 0.250 0.750 0.500

=====

2.
Ga2NiAu: optimized geometry, PBE.

- Density: 10.06 g cm⁻³
- Calculated formation energy: -0.1787 eV/atom

Cell lengths 4.047, 4.047, 5.156 Å; angles 66.89, 66.89, 60.00 degrees
Fractional coordinates of all 4 atoms:
Ga: 0.059 0.059 0.822
Ga: 0.269 0.269 0.193
Ni: 0.681 0.681 0.957
Au: 0.491 0.491 0.528

=====

3.
AcPm2ErTl2: optimized geometry, PBE.

- Density: 9.10 g cm⁻³
- Calculated formation energy: -0.2489 eV/atom

Cell lengths 4.890, 8.545, 9.549 Å; angles 90.00, 90.00, 90.00 degrees
Fractional coordinates of all 12 atoms:
Er: 0.500 0.649 0.310
Er: 0.500 0.149 0.690
Pm: 0.000 0.367 0.175
Pm: 0.000 0.867 0.825
Pm: 0.500 0.533 0.921
Pm: 0.500 0.033 0.079
Ac: 0.000 0.483 0.583
Ac: 0.000 0.983 0.417
Tl: 0.500 0.274 0.376
Tl: 0.500 0.774 0.624
Tl: 0.000 0.740 0.127
Tl: 0.000 0.240 0.873

=====

4.
LaNpZn17: optimized geometry, PBE.

- Density: 7.86 g cm⁻³
- Calculated formation energy: -0.1569 eV/atom

Cell lengths 6.850, 6.850, 6.850 Å; angles 82.70, 82.70, 82.70 degrees
Fractional coordinates of all 19 atoms:
Zn: 0.293 0.705 0.002
Zn: 0.102 0.102 0.102
Zn: 0.002 0.705 0.293
Zn: 0.705 0.002 0.293
Zn: 0.999 0.999 0.501
Zn: 0.903 0.903 0.903
Zn: 0.349 0.349 0.845
Zn: 0.002 0.293 0.705
Zn: 0.645 0.645 0.165
Zn: 0.645 0.165 0.645
Zn: 0.705 0.293 0.002
Zn: 0.349 0.845 0.349
Zn: 0.165 0.645 0.645
Zn: 0.293 0.002 0.705
Zn: 0.999 0.501 0.999
Zn: 0.845 0.349 0.349
Zn: 0.501 0.999 0.999
La: 0.663 0.663 0.663
Np: 0.335 0.335 0.335

=====

5.
Ce2YCrN5: optimized geometry, PBE.

- Density: 6.61 g cm⁻³
- Formation energy (no corrections): -1.15 eV per atom

Cell lengths 3.401, 7.134, 10.471 Å; angles 90.00, 90.00, 103.79 degrees
Fractional coordinates of all 18 atoms:
Y: 0.202 0.403 0.003
Y: 0.798 0.597 0.503
N: 0.288 0.577 0.664
N: 0.031 0.062 0.032
N: 0.691 0.382 0.848
N: 0.969 0.938 0.532
N: 0.712 0.423 0.164
N: 0.630 0.260 0.512
N: 0.513 0.027 0.300
N: 0.487 0.973 0.800
N: 0.309 0.618 0.348
N: 0.370 0.740 0.012
Ce: 0.145 0.289 0.296
Ce: 0.121 0.242 0.699
Ce: 0.855 0.711 0.796
Ce: 0.879 0.758 0.199
Cr: 0.498 0.996 0.969
Cr: 0.502 0.004 0.469

=====

6.
Fe4ReNi15: optimized geometry, PBE.

- Density: 9.49 g cm⁻³
- Calculated formation energy: -0.0439 eV/atom

Cell lengths 3.562, 3.562, 17.789 Å; angles 90.00, 90.00, 90.00 degrees
Fractional coordinates of all 20 atoms:
Ni: 0.000 0.500 0.500
Ni: 0.000 0.500 0.698
Ni: 0.000 0.500 0.898
Ni: 0.500 0.500 0.000
Ni: 0.500 0.000 0.102
Ni: 0.500 0.500 0.599
Ni: 0.500 0.000 0.500
Ni: 0.500 0.500 0.798
Ni: 0.000 0.500 0.102
Ni: 0.500 0.000 0.302
Ni: 0.500 0.000 0.698
Ni: 0.500 0.500 0.401
Ni: 0.500 0.000 0.898
Ni: 0.500 0.500 0.202
Ni: 0.000 0.500 0.302
Fe: 0.000 0.000 0.205
Fe: 0.000 0.000 0.795
Fe: 0.000 0.000 0.599
Fe: 0.000 0.000 0.401
Re: 0.000 0.000 0.000

=====

7.
Co2AgOs: optimized geometry, PBE.

- Density: 12.38 g cm⁻³
- Excess energy over the best structure of this formula in the dataset: 47.1 kJ/mol of atoms
- Calculated formation energy: 0.7776 eV/atom

Cell lengths 4.289, 4.289, 4.289 Å; angles 60.00, 60.00, 60.00 degrees
Fractional coordinates of all 4 atoms:
Co: 0.750 0.750 0.750
Co: 0.000 0.000 0.000
Os: 0.250 0.250 0.250
Ag: 0.500 0.500 0.500

=====

8.
RbH2Pb: optimized geometry, PBE.

- Density: 4.92 g cm⁻³
- Excess energy over the best structure of this formula in the dataset: 0.1 kJ/mol of atoms

Cell lengths 4.953, 5.717, 7.548 Å; angles 111.43, 90.10, 90.06 degrees
Fractional coordinates of all 8 atoms:
H: 0.355 0.340 0.377
H: 0.863 0.557 0.031
H: 0.859 0.609 0.951
H: 0.857 0.146 0.630
Rb: 0.358 0.383 0.775
Rb: 0.854 0.107 0.234
Pb: 0.857 0.819 0.647
Pb: 0.355 0.669 0.362

=====

9.
BaIn3Pb3: optimized geometry, PBE.

- Density: 7.78 g cm⁻³
- Excess energy over the best structure of this formula in the dataset: 4.0 kJ/mol of atoms
- Calculated formation energy: -0.1350 eV/atom

Cell lengths 8.190, 8.190, 9.386 Å; angles 64.13, 64.13, 60.00 degrees
Fractional coordinates of all 14 atoms:
In: 0.938 0.418 0.395
In: 0.249 0.938 0.395
In: 0.751 0.062 0.605
In: 0.582 0.751 0.605
In: 0.418 0.249 0.395
In: 0.062 0.582 0.605
Pb: 0.280 0.118 0.782
Pb: 0.821 0.280 0.782
Pb: 0.179 0.720 0.218
Pb: 0.118 0.821 0.782
Pb: 0.882 0.179 0.218
Pb: 0.720 0.882 0.218
Ba: 0.329 0.329 0.013
Ba: 0.671 0.671 0.987

=====

10.
TlReBr2: optimized geometry, PBE.

- Density: 9.21 g cm⁻³
- Formation energy (no corrections): 0.81 eV per atom
- Excess energy over the best structure of this formula in the dataset: 47.5 kJ/mol of atoms

Cell lengths 3.251, 3.250, 9.391 Å; angles 90.00, 90.00, 90.00 degrees
Fractional coordinates of all 4 atoms:
Tl: 0.500 0.500 0.750
Re: 0.500 0.500 0.250
Br: 0.000 0.000 0.430
Br: 0.000 0.000 0.070

=====

11.
Ca3SnO4: optimized geometry, PBE.

- Density: 3.59 g cm⁻³
- Formation energy (no corrections): -2.41 eV per atom

Cell lengths 5.058, 6.912, 8.023 Å; angles 90.00, 90.00, 90.00 degrees
Fractional coordinates of all 16 atoms:
Ca: 0.058 0.668 0.747
Ca: 0.558 0.837 0.000
Ca: 0.058 0.163 0.500
Ca: 0.058 0.668 0.253
Ca: 0.558 0.332 0.247
Ca: 0.558 0.332 0.753
Sn: 0.064 0.169 0.000
Sn: 0.564 0.831 0.500
O: 0.156 0.833 0.500
O: 0.539 0.662 0.761
O: 0.541 0.175 0.500
O: 0.656 0.167 0.000
O: 0.539 0.662 0.239
O: 0.039 0.338 0.261
O: 0.041 0.825 0.000
O: 0.039 0.338 0.739

=====

12.
Ti2Mn2Si: optimized geometry, PBE.

- Density: 5.11 g cm⁻³
- Formation energy (no corrections): 0.13 eV per atom
- Excess energy over the best structure of this formula in the dataset: 37.3 kJ/mol of atoms

Cell lengths 6.812, 6.812, 3.272 Å; angles 90.00, 90.00, 90.00 degrees
Fractional coordinates of all 10 atoms:
Mn: 0.353 0.147 0.500
Mn: 0.647 0.853 0.500
Mn: 0.147 0.647 0.500
Mn: 0.853 0.353 0.500
Si: 0.500 0.500 0.000
Si: 0.000 0.000 0.000
Ti: 0.848 0.652 0.000
Ti: 0.152 0.348 0.000
Ti: 0.652 0.152 0.000
Ti: 0.348 0.848 0.000

=====

Number 1: calculated volume 21.90 A^3/atom. Number 2: calculated volume 16.30 A^3/atom. Number 3: calculated volume 33.25 A^3/atom. Number 4: calculated volume 16.54 A^3/atom. Number 5: calculated volume 13.71 A^3/atom. Number 6: calculated volume 11.29 A^3/atom. Number 7: calculated volume 13.94 A^3/atom. Number 8: calculated volume 24.87 A^3/atom. Number 9: calculated volume 33.64 A^3/atom. Number 10: calculated volume 24.81 A^3/atom. Number 11: calculated volume 17.53 A^3/atom. Number 12: calculated volume 15.18 A^3/atom.